Entry 1:
An optimized crystal structure of ZrRh2Se. Source: Alexandria, functional PBE-GGA.

Lattice parameters (Å, degrees): 6.4453 6.4453 6.4453 90.00 90.00 90.00
Space group F-43m (No. 216)
One atom of each set of equivalent atoms:
1 Zr 0.0000 0.0000 0.0000
2 Rh 0.0000 0.0000 0.5000
3 Rh 0.2500 0.2500 0.2500
4 Se 0.2500 0.2500 0.7500

Calculated values
DFT total energy: -112.3 eV per cell
DOS at the Fermi energy: 16.0 states/eV per cell

Entry 2:
An optimized crystal structure of Pr3NdPd2. Source: Alexandria, functional PBE-GGA.

Lattice parameters (Å, degrees): 7.1845 14.2552 7.3778 90.00 90.00 90.00
Space group Ibam (No. 72)
One atom of each set of equivalent atoms:
1 Pr 0.0000 0.0000 0.2500
2 Pr 0.0000 0.2660 0.2500
3 Nd 0.0000 0.5000 0.0000
4 Pd 0.2075 0.1396 0.0000

Calculated values
DOS at the Fermi energy: 24.0 states/eV per cell
formation energy from the elements: -0.404 eV per atom
polymorph energy (0 for the lowest one): 0.071 eV per atom

Entry 3:
An optimized crystal structure of RbGe3P. Source: Alexandria, functional PBE-GGA.

Lattice parameters (Å, degrees): 5.5842 5.5842 5.5842 90.00 90.00 90.00
Space group Pm-3m (No. 221)
One atom of each set of equivalent atoms:
1 Rb 0.0000 0.0000 0.0000
2 Ge 0.0000 0.0000 0.5000
3 P 0.5000 0.5000 0.5000

Calculated values
DOS at the Fermi energy: 9.0 states/eV per cell
formation energy from the elements: 2.096 eV per atom
polymorph energy (0 for the lowest one): 2.058 eV per atom

Entry 4:
An optimized crystal structure of BeRu3Se. Source: Alexandria, functional PBE-GGA.

Lattice parameters (Å, degrees): 4.1549 4.1549 4.1549 90.00 90.00 90.00
Space group Pm-3m (No. 221)
One atom of each set of equivalent atoms:
1 Be 0.0000 0.0000 0.0000
2 Ru 0.0000 0.0000 0.5000
3 Se 0.5000 0.5000 0.5000

Calculated values
DOS at the Fermi energy: 3.8 states/eV per cell
polymorph energy (0 for the lowest one): 0.000 eV per atom

Entry 5:
An optimized crystal structure of TlCdAg2. Source: Alexandria, functional PBE-GGA.

Lattice parameters (Å, degrees): 6.9758 6.9758 6.9758 90.00 90.00 90.00
Space group Fm-3m (No. 225)
One atom of each set of equivalent atoms:
1 Tl 0.0000 0.0000 0.0000
2 Cd 0.0000 0.0000 0.5000
3 Ag 0.2500 0.2500 0.2500

Calculated values
DOS at the Fermi energy: 4.6 states/eV per cell
formation energy from the elements: 0.093 eV per atom
polymorph energy (0 for the lowest one): 0.034 eV per atom

Entry 6:
An optimized crystal structure of TiTlRh2. Source: Alexandria, functional PBE-GGA.

Lattice parameters (Å, degrees): 7.0870 7.0870 5.8050 90.00 90.00 90.00
Space group I-42d (No. 122)
One atom of each set of equivalent atoms:
1 Ti 0.0000 0.0000 0.0000
2 Tl 0.0000 0.0000 0.5000
3 Rh 0.2035 0.7500 0.1250

Calculated values
DOS at the Fermi energy: 6.6 states/eV per cell
formation energy from the elements: -0.060 eV per atom

Entry 7:
An optimized crystal structure of As2RuBr. Source: Alexandria, functional PBE-GGA.

Lattice parameters (Å, degrees): 3.3676 3.3676 23.7727 90.00 90.00 120.00
Space group R-3m (No. 166, hexagonal axes)
One atom of each set of equivalent atoms:
1 As 0.0000 0.0000 0.2361
2 Ru 0.0000 0.0000 0.5000
3 Br 0.0000 0.0000 0.0000

Calculated values
DOS at the Fermi energy: 10.6 states/eV per cell
polymorph energy (0 for the lowest one): 0.136 eV per atom

Entry 8:
An optimized crystal structure of BaZn3Sn4O12. Source: Alexandria, functional PBE-GGA.

Lattice parameters (Å, degrees): 7.9102 7.9102 7.9102 90.00 90.00 90.00
Space group Im-3 (No. 204)
One atom of each set of equivalent atoms:
1 Ba 0.0000 0.0000 0.0000
2 Zn 0.0000 0.0000 0.5000
3 Sn 0.2500 0.2500 0.2500
4 O 0.0000 0.1809 0.3103

Calculated values
DFT total energy: -227.7 eV per cell

Entry 9:
An optimized crystal structure of Ce2ThMoC4. Source: Alexandria, functional PBE-GGA.

Lattice parameters (Å, degrees): 3.5463 12.1806 12.5837 90.00 90.00 90.00
Space group Cmcm (No. 63)
One atom of each set of equivalent atoms:
1 Ce 0.0000 0.1316 0.0391
2 Th 0.0000 0.3967 0.2500
3 Mo 0.0000 0.3395 0.7500
4 C 0.0000 0.0645 0.2500
5 C 0.0000 0.2344 0.6333
6 C 0.0000 0.5000 0.0000

Calculated values
DOS at the Fermi energy: 23.8 states/eV per cell
formation energy from the elements: -0.039 eV per atom

Entry 10:
An optimized crystal structure of KSr2Br. Source: Alexandria, functional PBE-GGA.

Lattice parameters (Å, degrees): 5.4071 5.4071 13.6262 90.00 90.00 90.00
Space group I4/mmm (No. 139)
One atom of each set of equivalent atoms:
1 K 0.0000 0.0000 0.0000
2 Sr 0.0000 0.5000 0.2500
3 Br 0.0000 0.0000 0.5000

Calculated values
DFT total energy: -15.5 eV per cell
DOS at the Fermi energy: 4.5 states/eV per cell

Entry 11:
An optimized crystal structure of AlBiP2. Source: Alexandria, functional PBE-GGA.

Lattice parameters (Å, degrees): 6.1053 6.1053 11.3548 90.00 90.00 90.00
Space group I-42d (No. 122)
One atom of each set of equivalent atoms:
1 Al 0.0000 0.0000 0.0000
2 Bi 0.0000 0.0000 0.5000
3 P 0.1887 0.2500 0.1250

Calculated values
DOS at the Fermi energy: 1.6 states/eV per cell
formation energy from the elements: -0.063 eV per atom
polymorph energy (0 for the lowest one): 0.000 eV per atom

Entry 12:
An optimized crystal structure of PuNbSe2. Source: Alexandria, functional PBE-GGA.

Lattice parameters (Å, degrees): 3.4285 3.4285 28.1871 90.00 90.00 120.00
Space group R-3m (No. 166, hexagonal axes)
One atom of each set of equivalent atoms:
1 Pu 0.0000 0.0000 0.0000
2 Nb 0.0000 0.0000 0.5000
3 Se 0.0000 0.0000 0.1050

Calculated values
DFT total energy: -100.8 eV per cell
DOS at the Fermi energy: 26.7 states/eV per cell

no.,magnetic moment (μB per cell),mass density (Mg/m³)
1,0.00,9.33
2,0.00,6.85
3,0.36,3.19
4,0.00,9.06
5,0.00,10.42
6,0.00,10.44
7,0.00,7.06
8,0.00,6.71
9,0.00,8.02
10,0.00,2.45
11,0.00,4.68
12,19.79,8.59